# 1
A relaxed structure of CsNa2CuAg. Source: Alexandria, functional PBE.

```
CsNa2CuAg
1.0
5.715 0.000 0.000
0.000 5.715 0.000
0.000 0.000 5.199
Cs Na Cu Ag
1 2 1 1
direct
0.000 0.000 0.000 Cs
0.000 0.500 0.500 Na
0.500 0.000 0.500 Na
0.500 0.500 0.500 Cu
0.500 0.500 0.000 Ag
```

Calculated values
Density = 3.43 g/cm3
Crystal system = tetragonal
Raw total energy = -1.87 eV/atom
Space group = P4/mmm (123)
Energy relative to the elements = 0.215 eV per atom

***

# 2
A relaxed structure of Cs2CuAgO. Source: Alexandria, functional PBE.

```
Cs2CuAgO
1.0
6.478 0.000 0.000
0.000 6.478 0.000
0.000 0.000 3.679
Cs Cu Ag O
2 1 1 1
direct
0.000 0.500 0.000 Cs
0.500 0.000 0.000 Cs
0.000 0.000 0.500 Cu
0.500 0.500 0.500 Ag
0.000 0.000 0.000 O
```

Calculated values
Density = 4.88 g/cm3
Crystal system = tetragonal
Raw total energy = -3.16 eV/atom
Formation energy without anion corrections = -0.4419 eV per atom
Space group = P4/mmm (123)

***

# 3
A relaxed structure of Cs2CuAgO2. Source: Alexandria, functional PBE.

```
Cs2CuAgO2
1.0
6.850 -3.966 0.000
6.850 3.966 0.000
0.000 0.000 5.996
Cs Cu Ag O
4 2 2 4
direct
0.011 0.328 0.250 Cs
0.328 0.011 0.750 Cs
0.672 0.989 0.250 Cs
0.989 0.672 0.750 Cs
0.246 0.754 0.250 Cu
0.754 0.246 0.750 Cu
0.500 0.500 0.000 Ag
0.500 0.500 0.500 Ag
0.105 0.636 0.250 O
0.364 0.895 0.250 O
0.636 0.105 0.750 O
0.895 0.364 0.750 O
```

Calculated values
Density = 4.78 g/cm3
Crystal system = orthorhombic
Raw total energy = -3.81 eV/atom
Formation energy without anion corrections = -0.7103 eV per atom
Space group = Cmcm (63)

***

# 4
A relaxed structure of CsCuAg2Se2. Source: Alexandria, functional PBE.

```
CsCuAg2Se2
1.0
7.370 0.000 0.000
0.000 10.247 0.000
0.000 0.000 4.656
Cs Cu Ag Se
2 2 4 4
direct
0.000 0.000 0.000 Cs
0.500 0.500 0.500 Cs
0.000 0.500 0.000 Cu
0.500 0.000 0.500 Cu
0.024 0.342 0.500 Ag
0.476 0.842 0.000 Ag
0.524 0.158 0.000 Ag
0.976 0.658 0.500 Ag
0.190 0.323 0.000 Se
0.310 0.823 0.500 Se
0.690 0.177 0.500 Se
0.810 0.677 0.000 Se
```

Calculated values
Density = 5.38 g/cm3
Crystal system = orthorhombic
Raw total energy = -3.34 eV/atom
Formation energy without anion corrections = -0.3999 eV per atom
Space group = Pnnm (58)

***

# 5
A relaxed structure of Cs2CuAgSe. Source: Alexandria, functional PBE.

```
Cs2CuAgSe
1.0
6.944 0.000 0.000
0.000 6.944 0.000
0.000 0.000 4.430
Cs Cu Ag Se
2 1 1 1
direct
0.000 0.500 0.000 Cs
0.500 0.000 0.000 Cs
0.000 0.000 0.000 Cu
0.500 0.500 0.500 Ag
0.000 0.000 0.500 Se
```

Calculated values
Density = 4.01 g/cm3
Crystal system = tetragonal
Raw total energy = -2.68 eV/atom
Formation energy without anion corrections = -0.2541 eV per atom
Space group = P4/mmm (123)

***

# 6
A relaxed structure of CsCuAgTe2. Source: Alexandria, functional PBE.

```
CsCuAgTe2
1.0
3.386 -6.499 0.000
3.386 6.499 0.000
0.000 0.000 7.812
Cs Cu Ag Te
2 2 2 4
direct
0.250 0.750 0.762 Cs
0.750 0.250 0.238 Cs
0.250 0.250 0.000 Cu
0.750 0.750 0.000 Cu
0.000 0.000 0.500 Ag
0.500 0.500 0.500 Ag
0.096 0.904 0.198 Te
0.404 0.596 0.198 Te
0.596 0.404 0.802 Te
0.904 0.096 0.802 Te
```

Calculated values
Density = 5.40 g/cm3
Crystal system = orthorhombic
Raw total energy = -3.18 eV/atom
Formation energy without anion corrections = -0.3669 eV per atom
Space group = Cmme (67)

***

# 7
A relaxed structure of CsTl2CuAg. Source: Alexandria, functional PBE.

```
CsTl2CuAg
1.0
5.356 0.000 0.000
0.000 5.356 0.000
0.000 0.000 5.466
Cs Tl Cu Ag
1 2 1 1
direct
0.000 0.000 0.000 Cs
0.000 0.500 0.500 Tl
0.500 0.000 0.500 Tl
0.500 0.500 0.500 Cu
0.500 0.500 0.000 Ag
```

Calculated values
Density = 7.55 g/cm3
Crystal system = tetragonal
Raw total energy = -2.35 eV/atom
Space group = P4/mmm (123)
Energy relative to the elements = 0.157 eV per atom

***

# 8
A relaxed structure of CsTlCuAg2. Source: Alexandria, functional PBE.

```
CsTlCuAg2
1.0
6.533 0.000 0.000
0.000 6.533 0.000
0.000 0.000 5.820
Cs Tl Cu Ag
1 1 1 2
direct
0.000 0.000 0.000 Cs
0.500 0.500 0.500 Tl
0.000 0.000 0.500 Cu
0.000 0.500 0.000 Ag
0.500 0.000 0.000 Ag
```

Calculated values
Density = 4.12 g/cm3
Crystal system = tetragonal
Raw total energy = -1.40 eV/atom
Space group = P4/mmm (123)
Energy relative to the elements = 1.205 eV per atom

***

# 9
A relaxed structure of CsDyAgF6. Source: Alexandria, functional PBE.

```
CsDyAgF6
1.0
-3.926 4.178 5.956
3.926 -4.178 5.956
3.926 4.178 -5.956
Cs Dy Ag F
2 2 2 12
direct
0.322 0.072 0.250 Cs
0.678 0.928 0.750 Cs
0.000 0.500 0.500 Dy
0.500 0.500 0.000 Dy
0.000 0.000 0.500 Ag
0.000 0.500 0.000 Ag
0.053 0.803 0.250 F
0.063 0.405 0.239 F
0.063 0.824 0.657 F
0.310 0.560 0.750 F
0.333 0.176 0.739 F
0.333 0.595 0.157 F
0.667 0.405 0.843 F
0.667 0.824 0.261 F
0.690 0.440 0.250 F
0.937 0.176 0.343 F
0.937 0.595 0.761 F
0.947 0.197 0.750 F
```

Calculated values
Density = 4.40 g/cm3
Crystal system = orthorhombic
Raw total energy = -4.99 eV/atom
Formation energy without anion corrections = -2.8201 eV per atom
Space group = Imma (74)

***

# 10
A relaxed structure of CsDy2AgI8. Source: Alexandria, functional PBE.

```
CsDy2AgI8
1.0
3.930 2.269 10.965
-3.930 2.269 10.965
0.000 -4.538 10.965
Cs Dy Ag I
1 2 1 8
direct
0.000 0.000 0.000 Cs
0.241 0.241 0.241 Dy
0.759 0.759 0.759 Dy
0.500 0.500 0.500 Ag
0.138 0.778 0.419 I
0.222 0.581 0.862 I
0.328 0.328 0.328 I
0.419 0.138 0.778 I
0.581 0.862 0.222 I
0.672 0.672 0.672 I
0.778 0.419 0.138 I
0.862 0.222 0.581 I
```

Calculated values
Density = 4.47 g/cm3
Crystal system = trigonal
Raw total energy = -3.22 eV/atom
Formation energy without anion corrections = -1.1132 eV per atom
Space group = R-3 (148)

***

# 11
A relaxed structure of CsDyAgI6. Source: Alexandria, functional PBE.

```
CsDyAgI6
1.0
7.566 0.000 0.000
-2.649 7.221 0.000
-1.204 -1.016 8.140
Cs Dy Ag I
1 1 1 6
direct
0.000 0.000 0.000 Cs
0.412 0.637 0.508 Dy
0.799 0.332 0.443 Ag
0.066 0.577 0.244 I
0.128 0.306 0.635 I
0.428 0.917 0.772 I
0.489 0.381 0.240 I
0.657 0.937 0.325 I
0.714 0.531 0.716 I
```

Calculated values
Density = 4.35 g/cm3
Crystal system = triclinic
Raw total energy = -2.94 eV/atom
Formation energy without anion corrections = -0.9795 eV per atom
Space group = P1 (1)

***

# 12
A relaxed structure of Cs2DyAg2I6. Source: Alexandria, functional PBE.

```
Cs2DyAg2I6
1.0
6.880 -4.735 0.000
6.880 4.735 0.000
-3.667 0.000 7.952
Cs Dy Ag I
2 1 2 6
direct
0.218 0.218 0.168 Cs
0.782 0.782 0.832 Cs
0.000 0.000 0.500 Dy
0.457 0.457 0.618 Ag
0.543 0.543 0.382 Ag
0.197 0.753 0.234 I
0.242 0.242 0.630 I
0.247 0.803 0.766 I
0.753 0.197 0.234 I
0.758 0.758 0.370 I
0.803 0.247 0.766 I
```

Calculated values
Density = 4.50 g/cm3
Crystal system = monoclinic
Raw total energy = -2.92 eV/atom
Formation energy without anion corrections = -0.9852 eV per atom
Space group = C2/m (12)

***

# 13
A relaxed structure of CsDyAgI5. Source: Alexandria, functional PBE.

```
CsDyAgI5
1.0
5.144 -6.918 0.000
5.144 6.918 0.000
-4.264 0.000 10.771
Cs Dy Ag I
2 2 2 10
direct
0.150 0.850 0.750 Cs
0.850 0.150 0.250 Cs
0.500 0.500 0.000 Dy
0.500 0.500 0.500 Dy
0.190 0.810 0.250 Ag
0.810 0.190 0.750 Ag
0.131 0.271 0.938 I
0.193 0.596 0.406 I
0.271 0.131 0.438 I
0.404 0.807 0.094 I
0.431 0.569 0.750 I
0.569 0.431 0.250 I
0.596 0.193 0.906 I
0.729 0.869 0.562 I
0.807 0.404 0.594 I
0.869 0.729 0.062 I
```

Calculated values
Density = 4.50 g/cm3
Crystal system = monoclinic
Raw total energy = -3.15 eV/atom
Formation energy without anion corrections = -1.1406 eV per atom
Space group = C2/c (15)

***

# 14
A relaxed structure of CsDy2AgS4. Source: Alexandria, functional PBE.

```
CsDy2AgS4
1.0
2.055 -7.043 0.000
2.055 7.043 0.000
0.000 0.000 14.303
Cs Dy Ag S
2 4 2 8
direct
0.113 0.887 0.750 Cs
0.887 0.113 0.250 Cs
0.368 0.632 0.564 Dy
0.368 0.632 0.936 Dy
0.632 0.368 0.064 Dy
0.632 0.368 0.436 Dy
0.169 0.831 0.250 Ag
0.831 0.169 0.750 Ag
0.000 0.000 0.000 S
0.000 0.000 0.500 S
0.256 0.744 0.096 S
0.256 0.744 0.404 S
0.431 0.569 0.750 S
0.569 0.431 0.250 S
0.744 0.256 0.596 S
0.744 0.256 0.904 S
```

Calculated values
Density = 5.57 g/cm3
Crystal system = orthorhombic
Raw total energy = -5.24 eV/atom
Formation energy without anion corrections = -1.5615 eV per atom
Space group = Cmcm (63)

***

# 15
A relaxed structure of CsDyAgSe2. Source: Alexandria, functional PBE.

```
CsDyAgSe2
1.0
8.215 0.000 0.000
0.000 4.854 0.000
-0.325 0.000 8.267
Cs Dy Ag Se
2 2 2 4
direct
0.000 0.038 0.250 Cs
0.000 0.962 0.750 Cs
0.500 0.499 0.750 Dy
0.500 0.501 0.250 Dy
0.500 0.000 0.000 Ag
0.500 0.000 0.500 Ag
0.270 0.422 0.991 Se
0.270 0.578 0.491 Se
0.730 0.422 0.509 Se
0.730 0.578 0.009 Se
```

Calculated values
Density = 5.65 g/cm3
Crystal system = monoclinic
Raw total energy = -4.12 eV/atom
Formation energy without anion corrections = -1.0614 eV per atom
Space group = P2/c (13)

***

# 16
A relaxed structure of Cs2DyAg2Te4. Source: Alexandria, functional PBE.

```
Cs2DyAg2Te4
1.0
8.327 -2.232 0.000
8.327 2.232 0.000
-2.800 0.000 8.734
Cs Dy Ag Te
2 1 2 4
direct
0.132 0.132 0.064 Cs
0.868 0.868 0.936 Cs
0.000 0.000 0.500 Dy
0.319 0.319 0.520 Ag
0.681 0.681 0.480 Ag
0.193 0.193 0.679 Te
0.486 0.486 0.726 Te
0.514 0.514 0.274 Te
0.807 0.807 0.321 Te
```

Calculated values
Density = 5.91 g/cm3
Crystal system = monoclinic
Raw total energy = -3.59 eV/atom
Formation energy without anion corrections = -0.8606 eV per atom
Space group = C2/m (12)

***

# 17
A relaxed structure of CsDy2Ag3Te5. Source: Alexandria, functional PBE.

```
CsDy2Ag3Te5
1.0
2.292 -8.246 0.000
2.292 8.246 0.000
0.000 0.000 18.626
Cs Dy Ag Te
2 4 6 10
direct
0.058 0.942 0.750 Cs
0.942 0.058 0.250 Cs
0.191 0.809 0.094 Dy
0.191 0.809 0.406 Dy
0.809 0.191 0.594 Dy
0.809 0.191 0.906 Dy
0.341 0.659 0.750 Ag
0.416 0.584 0.035 Ag
0.416 0.584 0.465 Ag
0.584 0.416 0.535 Ag
0.584 0.416 0.965 Ag
0.659 0.341 0.250 Ag
0.178 0.822 0.572 Te
0.178 0.822 0.928 Te
0.255 0.745 0.250 Te
0.435 0.565 0.618 Te
0.435 0.565 0.882 Te
0.565 0.435 0.118 Te
0.565 0.435 0.382 Te
0.745 0.255 0.750 Te
0.822 0.178 0.072 Te
0.822 0.178 0.428 Te
```

Calculated values
Density = 6.70 g/cm3
Crystal system = orthorhombic
Raw total energy = -4.00 eV/atom
Formation energy without anion corrections = -0.8823 eV per atom
Space group = Cmcm (63)

***

# 18
A relaxed structure of CsDyAgTe2. Source: Alexandria, functional PBE.

```
CsDyAgTe2
1.0
4.771 0.000 0.000
0.000 8.801 0.000
0.000 0.000 8.846
Cs Dy Ag Te
2 2 2 4
direct
0.000 0.000 0.250 Cs
0.000 0.000 0.750 Cs
0.500 0.500 0.250 Dy
0.500 0.500 0.750 Dy
0.000 0.500 0.000 Ag
0.000 0.500 0.500 Ag
0.464 0.265 0.000 Te
0.464 0.735 0.500 Te
0.536 0.265 0.500 Te
0.536 0.735 0.000 Te
```

Calculated values
Density = 5.89 g/cm3
Crystal system = orthorhombic
Raw total energy = -3.75 eV/atom
Formation energy without anion corrections = -0.8355 eV per atom
Space group = Pccm (49)

***

# 19
A relaxed structure of CsDyAgTe3. Source: Alexandria, functional PBE.

```
CsDyAgTe3
1.0
2.174 -8.989 0.000
2.174 8.989 0.000
0.000 0.000 11.381
Cs Dy Ag Te
2 2 2 6
direct
0.247 0.753 0.750 Cs
0.753 0.247 0.250 Cs
0.000 0.000 0.000 Dy
0.000 0.000 0.500 Dy
0.469 0.531 0.250 Ag
0.531 0.469 0.750 Ag
0.070 0.930 0.250 Te
0.381 0.619 0.049 Te
0.381 0.619 0.451 Te
0.619 0.381 0.549 Te
0.619 0.381 0.951 Te
0.930 0.070 0.750 Te
```

Calculated values
Density = 5.87 g/cm3
Crystal system = orthorhombic
Raw total energy = -3.88 eV/atom
Formation energy without anion corrections = -0.9285 eV per atom
Space group = Cmcm (63)

***

# 20
A relaxed structure of CsDy2AgTe4. Source: Alexandria, functional PBE.

```
CsDy2AgTe4
1.0
2.258 -7.804 0.000
2.258 7.804 0.000
0.000 0.000 15.922
Cs Dy Ag Te
2 4 2 8
direct
0.121 0.879 0.750 Cs
0.879 0.121 0.250 Cs
0.370 0.630 0.567 Dy
0.370 0.630 0.933 Dy
0.630 0.370 0.067 Dy
0.630 0.370 0.433 Dy
0.166 0.834 0.250 Ag
0.834 0.166 0.750 Ag
0.000 0.000 0.000 Te
0.000 0.000 0.500 Te
0.259 0.741 0.100 Te
0.259 0.741 0.400 Te
0.438 0.562 0.750 Te
0.562 0.438 0.250 Te
0.741 0.259 0.600 Te
0.741 0.259 0.900 Te
```

Calculated values
Density = 6.37 g/cm3
Crystal system = orthorhombic
Raw total energy = -4.32 eV/atom
Formation energy without anion corrections = -1.1309 eV per atom
Space group = Cmcm (63)

***

# 21
A relaxed structure of CsErAg2. Source: Alexandria, functional PBE.

```
CsErAg2
1.0
3.827 0.000 0.000
0.000 3.827 0.000
0.000 0.000 8.664
Cs Er Ag
1 1 2
direct
0.000 0.000 0.000 Cs
0.000 0.000 0.500 Er
0.500 0.500 0.331 Ag
0.500 0.500 0.669 Ag
```

Calculated values
Density = 6.75 g/cm3
Crystal system = tetragonal
Raw total energy = -2.83 eV/atom
Space group = P4/mmm (123)
Energy relative to the elements = -0.054 eV per atom